An optimized crystal structure of TiCoO2. Source: the Alexandria database, functional GGA+U.

Output
The calculation puts the energy above the most stable polymorph in this dataset at 0.00 eV/f.u. The space group is R-3m (166). The uncorrected energy comes out at -7.564 eV per atom. The calculation puts the density of states at the Fermi level at 1.85 states/eV/cell.

a = 6.257 Å, b = 6.257 Å, c = 6.257 Å
α = 27.14°, β = 27.14°, γ = 27.14°
Atoms (fractional coordinates):
Ti 0.000 0.000 0.000
Co 0.500 0.500 0.500
O 0.396 0.396 0.396
O 0.604 0.604 0.604